! GGA-PBE Rb3SnI6, optimized geometry; values from VASP
&SYSTEM
  ibrav = 0, nat = 20, ntyp = 3
/
ATOMIC_SPECIES
Rb 85.47 Rb.upf
Sn 118.71 Sn.upf
I 126.90 I.upf
ATOMIC_POSITIONS crystal
Rb 0.434 0.765 0.916
Rb 0.765 0.916 0.434
Rb 0.916 0.434 0.765
Rb 0.084 0.566 0.235
Rb 0.566 0.235 0.084
Rb 0.235 0.084 0.566
Sn 0.500 0.500 0.500
Sn 0.000 0.000 0.000
I 0.547 0.212 0.445
I 0.453 0.788 0.555
I 0.725 0.909 0.074
I 0.909 0.074 0.725
I 0.074 0.725 0.909
I 0.926 0.275 0.091
I 0.212 0.445 0.547
I 0.788 0.555 0.453
I 0.091 0.926 0.275
I 0.275 0.091 0.926
I 0.445 0.547 0.212
I 0.555 0.453 0.788
CELL_PARAMETERS angstrom
-1.469 -0.349 10.174
-7.064 -7.373 -1.232
7.302 -7.194 0.848
! Total DFT energy (no corrections)   -2.65 eV per atom
! N(E_F)   0.652 states/eV/atom
! Total magnetization   0.0 μB/cell
! Symmetry   No. 148
! Energy relative to the elements, uncorrected   -1029 meV/atom
! E above lowest polymorph   0.00 kJ per mole of atoms